This record from Alexandria describes an optimized crystal structure of CsBSe3. The functional is PBE.

Cell and atoms, written as extended XYZ:
```
20
Lattice="13.106 0.000 0.000 0.000 6.292 -0.131 0.000 2.140 7.513" Properties=species:S:1:pos:R:3 pbc="T T T"
Se 7.826 5.926 5.956
Se 3.953 6.423 3.199
Se 4.186 4.378 0.401
Se 2.367 1.232 0.467
Se 10.506 5.155 4.118
Se 9.153 2.009 4.184
Se 5.280 2.506 1.426
Se 1.273 5.652 1.361
Se 2.600 3.277 3.264
Se 8.920 4.053 6.981
Se 10.739 7.199 6.916
Se 11.833 2.780 6.022
B 9.600 6.672 5.233
B 10.059 3.526 5.299
B 3.506 1.759 2.149
B 3.047 4.905 2.084
Cs 7.580 5.543 1.853
Cs 1.027 6.034 5.464
Cs 12.079 2.397 1.918
Cs 5.526 2.888 5.529
```

The value obtained for the volume is 31.2 Å³/atom. The calculation puts the total energy at -83.67 eV per cell.